Record 1
VASP calculation (PBE) on a relaxed structure of CaTb2Nd.

Lattice parameters (Å, degrees): 3.666 3.666 10.409 90.00 90.00 90.00
Space group P4/mmm (No. 123)
Unique sites:
Ca (0.000, 0.000, 0.000)
Tb (0.500, 0.500, 0.266)
Nd (0.000, 0.000, 0.500)

## Properties
**VASP energy**: -3.9363 eV per atom
**Formation energy from the elements**: 0.071 eV/atom

=====

Record 2
VASP calculation (PBE) on a relaxed structure of Zr2InTe4.

Lattice parameters (Å, degrees): 4.052 13.995 14.712 90.00 90.00 90.00
Space group Cmcm (No. 63)
Unique sites:
Zr (0.000, 0.144, 0.060)
In (0.000, 0.417, 0.250)
Te (0.000, 0.079, 0.250)
Te (0.000, 0.222, 0.622)
Te (0.000, 0.500, 0.000)

## Properties
**VASP energy**: -5.2816 eV per atom

=====

Record 3
VASP calculation (PBE) on a relaxed structure of MgSi3Pt12Pb2.

Lattice parameters (Å, degrees): 8.3024 8.3024 17.1579 90.00 90.00 120.00
Space group R-3m (No. 166, hexagonal axes)
Unique sites:
Mg (0.0000, 0.0000, 0.0000)
Si (0.0000, 0.5000, 0.5000)
Pt (0.0191, 0.5096, 0.3650)
Pt (0.0228, 0.5114, 0.8710)
Pb (0.0000, 0.0000, 0.3961)

## Properties
**VASP energy**: -5.7365 eV per atom

=====

Record 4
VASP calculation (PBE) on a relaxed structure of Li4Y3ZrTe8.

Lattice parameters (Å, degrees): 8.5321 8.5321 21.2342 90.00 90.00 120.00
Space group R-3m (No. 166, hexagonal axes)
Unique sites:
Li (0.0000, 0.0000, 0.0000)
Li (0.0000, 0.5000, 0.0000)
Y (0.0000, 0.5000, 0.5000)
Zr (0.0000, 0.0000, 0.5000)
Te (0.0000, 0.0000, 0.2533)
Te (0.0108, 0.5054, 0.2512)

## Properties
**VASP energy**: -4.9850 eV per atom

=====

Record 5
VASP calculation (PBE) on a relaxed structure of YHo3Au2.

Lattice parameters (Å, degrees): 7.028 13.833 7.267 90.00 90.00 90.00
Space group Ibam (No. 72)
Unique sites:
Y (0.000, 0.000, 0.000)
Ho (0.000, 0.233, 0.250)
Ho (0.000, 0.500, 0.250)
Au (0.205, 0.358, 0.000)

## Properties
**VASP energy**: -4.9231 eV per atom
**Formation energy from the elements**: -0.464 eV/atom

=====

Record 6
VASP calculation (PBE) on a relaxed structure of CdInSb2.

Lattice parameters (Å, degrees): 4.014 5.139 10.448 90.00 90.00 90.00
Space group Immm (No. 71)
Unique sites:
Cd (0.000, 0.000, 0.000)
In (0.000, 0.000, 0.500)
Sb (0.000, 0.500, 0.264)

## Properties
**VASP energy**: -2.8527 eV per atom

=====

Record 7
VASP calculation (PBE) on a relaxed structure of TaCr2Ag.

Lattice parameters (Å, degrees): 3.159 3.159 6.348 90.00 90.00 90.00
Space group P4/mmm (No. 123)
Unique sites:
Ta (0.000, 0.000, 0.000)
Cr (0.500, 0.500, 0.233)
Ag (0.000, 0.000, 0.500)

## Properties
**VASP energy**: -8.0734 eV per atom
**Formation energy from the elements**: 0.414 eV/atom